The following is a PBE-GGA calculation of a relaxed structure of PmNd4Sm3S8, from Alexandria via LeMat-Bulk.

The structure in CIF format:
```
data_PmNd4Sm3S8
_chemical_formula_sum 'Pm3 Nd12 Sm9 S24'
_symmetry_space_group_name_H-M 'R -3 m'
_symmetry_Int_Tables_number 166
_symmetry_space_group_name_Hall '-R 3 2"'
_cell_length_a 8.0796
_cell_length_b 8.0796
_cell_length_c 19.8475
_cell_angle_alpha 90.00
_cell_angle_beta 90.00
_cell_angle_gamma 120.00
loop_
_atom_site_label
_atom_site_fract_x
_atom_site_fract_y
_atom_site_fract_z
Pm1 0.0000 0.0000 0.0000
Nd1 0.0000 0.0000 0.5000
Nd2 0.0000 0.5000 0.5000
Sm1 0.0000 0.5000 0.0000
S1 0.0000 0.0000 0.2520
S2 0.0011 0.5006 0.2517
```

The magnetic moment is 0.000 μB per atom. The calculation puts the calculated volume at 1122.0 Å³ per cell. The calculation puts the electronic total energy at -6.459 eV/atom. The value obtained for the uncorrected formation energy is -2.02 eV/atom.